No. 1
Compound: BaMgRe3
Source: the Alexandria database
Functional: PBE
Structure: optimized geometry

a b c (Å): 5.048 5.048 5.048
angles (deg): 90.00 90.00 90.00
Element x y z (fractional)
Ba (0.000, 0.000, 0.000)
Mg (0.500, 0.500, 0.500)
Re (0.000, 0.000, 0.500)
Re (0.000, 0.500, 0.000)
Re (0.500, 0.000, 0.000)

Summary:
The total magnetization is 3.87 μB/f.u. As for the formation energy from the elements: 3.5761 eV/atom. The calculation puts the density of states at the Fermi level at 6.94 states/eV/cell. Its symmetry is Pm-3m, No. 221.



No. 2
Compound: Ba3Cd3Rh
Source: the Alexandria database
Functional: PBE
Structure: optimized geometry

a b c (Å): 6.700 6.700 17.785
angles (deg): 104.24 104.24 39.08
Element x y z (fractional)
Ba (0.021, 0.021, 0.394)
Ba (0.108, 0.108, 0.920)
Ba (0.248, 0.248, 0.254)
Ba (0.752, 0.752, 0.746)
Ba (0.892, 0.892, 0.080)
Ba (0.979, 0.979, 0.606)
Cd (0.312, 0.312, 0.463)
Cd (0.393, 0.393, 0.917)
Cd (0.465, 0.465, 0.761)
Cd (0.535, 0.535, 0.239)
Cd (0.607, 0.607, 0.083)
Cd (0.688, 0.688, 0.537)
Rh (0.294, 0.294, 0.623)
Rh (0.706, 0.706, 0.377)

Summary:
The total magnetization is 0.00 μB/f.u. As for the formation energy from the elements: -0.2925 eV/atom. The calculation puts the density of states at the Fermi level at 9.81 states/eV/cell. Its symmetry is C2/m, No. 12.



No. 3
Compound: SmHoTm2Te6
Source: the Alexandria database
Functional: PBE
Structure: optimized geometry

a b c (Å): 8.286 8.286 8.286
angles (deg): 55.24 55.24 55.24
Element x y z (fractional)
Sm (0.000, 0.000, 0.000)
Ho (0.502, 0.502, 0.502)
Tm (0.186, 0.186, 0.186)
Tm (0.688, 0.688, 0.688)
Te (0.090, 0.417, 0.784)
Te (0.292, 0.913, 0.582)
Te (0.417, 0.784, 0.090)
Te (0.582, 0.292, 0.913)
Te (0.784, 0.090, 0.417)
Te (0.913, 0.582, 0.292)

Summary:
The value obtained for the formation energy without anion corrections is -1346 meV per atom. The total magnetization is 0.00 μB/f.u. Its symmetry is R3, No. 146.



No. 4
Compound: NbNi2Au
Source: the Alexandria database
Functional: PBE
Structure: optimized geometry

a b c (Å): 5.527 5.527 5.527
angles (deg): 104.00 104.00 121.06
Element x y z (fractional)
Nb (0.000, 0.000, 0.000)
Nb (0.750, 0.250, 0.500)
Ni (0.112, 0.125, 0.487)
Ni (0.375, 0.888, 0.013)
Ni (0.638, 0.625, 0.513)
Ni (0.875, 0.362, 0.987)
Au (0.250, 0.750, 0.500)
Au (0.500, 0.500, 0.000)

Summary:
The total magnetization is 0.00 μB/f.u. As for the formation energy from the elements: 0.3259 eV/atom. The calculation puts the density of states at the Fermi level at 8.74 states/eV/cell. Its symmetry is I-42d, No. 122.



No. 5
Compound: Na2PuCrSe4
Source: the Alexandria database
Functional: PBE
Structure: optimized geometry

a b c (Å): 6.815 4.029 7.361
angles (deg): 90.00 108.49 90.00
Element x y z (fractional)
Na (0.000, 0.000, 0.000)
Na (0.500, 0.500, 0.000)
Pu (0.000, 0.500, 0.500)
Cr (0.500, 0.000, 0.500)
Se (0.262, 0.000, 0.725)
Se (0.285, 0.500, 0.291)
Se (0.715, 0.500, 0.709)
Se (0.738, 0.000, 0.275)

Summary:
The value obtained for the formation energy without anion corrections is -1064 meV per atom. The total magnetization is 8.00 μB/f.u. The calculation puts the density of states at the Fermi level at 8.87 states/eV/cell. Its symmetry is P2/m, No. 10.



No. 6
Compound: Sr2Cu3AgSn4
Source: the Alexandria database
Functional: PBE
Structure: optimized geometry

a b c (Å): 4.654 4.654 10.896
angles (deg): 90.00 90.00 90.00
Element x y z (fractional)
Sr (0.000, 0.500, 0.244)
Sr (0.500, 0.000, 0.756)
Cu (0.000, 0.000, 0.000)
Cu (0.000, 0.500, 0.628)
Cu (0.500, 0.000, 0.372)
Ag (0.500, 0.500, 0.000)
Sn (0.000, 0.000, 0.500)
Sn (0.000, 0.500, 0.867)
Sn (0.500, 0.000, 0.133)
Sn (0.500, 0.500, 0.500)

Summary:
The total magnetization is 0.00 μB/f.u. As for the formation energy from the elements: -0.3287 eV/atom. The calculation puts the density of states at the Fermi level at 4.04 states/eV/cell. Its symmetry is P-4m2, No. 115.